The following is a DFT calculation (PBE) of Cr2TcAu2 after structural relaxation.

Calculated values
* space group: P4/mbm
* distance to the lowest polymorph of the same formula: 0.0 meV per atom
* spin magnetization: 1.671 μB per cell
* ΔH_f (0 K): 483 meV per atom

Unit cell a=6.0427 b=6.0427 c=4.2108 alpha=90.00 beta=90.00 gamma=90.00
Last column: nearest neighbours and their distance in Å.
Fractional coordinates of all 10 atoms:
Au 0.8233 0.3233 0.5000  6 Cr 2.72-2.79, 1 Au 3.02
Tc 0.5000 0.5000 0.0000  4 Cr 2.40
Au 0.6767 0.8233 0.5000  6 Cr 2.72-2.79, 1 Au 3.02
Au 0.1767 0.6767 0.5000  6 Cr 2.72-2.79, 1 Au 3.02
Cr 0.6225 0.1225 0.0000  1 Cr 2.09
Cr 0.8775 0.6225 0.0000  1 Cr 2.09
Cr 0.1225 0.3775 0.0000  1 Cr 2.09
Cr 0.3775 0.8775 0.0000  1 Cr 2.09
Au 0.3233 0.1767 0.5000  6 Cr 2.72-2.79, 1 Au 3.02
Tc 0.0000 0.0000 0.0000  4 Cr 2.40